Entry from the Alexandria database: an optimized crystal structure of MgTe3 (PBE).

Lattice parameters (Å, degrees): 8.2772 7.7324 7.9998 90.00 90.00 90.00
Closest atoms and distances in Å follow each position.
Positions (direct):
Mg (0.1184, 0.2500, 0.1142)  6 Te 3.03-3.10
Mg (0.3816, 0.7500, 0.6142)  6 Te 3.03-3.10
Mg (0.6184, 0.2500, 0.3858)  6 Te 3.03-3.10
Mg (0.8816, 0.7500, 0.8858)  6 Te 3.03-3.10
Te (0.1102, 0.2500, 0.5881)  2 Te 2.85
Te (0.1738, 0.5136, 0.8274)  1 Te 2.85, 3 Mg 3.03-3.10
Te (0.1738, 0.9864, 0.8274)  1 Te 2.85, 3 Mg 3.03-3.10
Te (0.3262, 0.0136, 0.3274)  1 Te 2.85, 3 Mg 3.03-3.10
Te (0.3262, 0.4864, 0.3274)  1 Te 2.85, 3 Mg 3.03-3.10
Te (0.3898, 0.7500, 0.0881)  2 Te 2.85
Te (0.6102, 0.2500, 0.9119)  2 Te 2.85
Te (0.6738, 0.5136, 0.6726)  1 Te 2.85, 3 Mg 3.03-3.10
Te (0.6738, 0.9864, 0.6726)  1 Te 2.85, 3 Mg 3.03-3.10
Te (0.8262, 0.0136, 0.1726)  1 Te 2.85, 3 Mg 3.03-3.10
Te (0.8262, 0.4864, 0.1726)  1 Te 2.85, 3 Mg 3.03-3.10
Te (0.8898, 0.7500, 0.4119)  2 Te 2.85

## Properties
Space-group type = Pnma
E_tot = -3.04 eV per atom
Total magnetization = 0.000 μB/atom
Formation energy without anion corrections = -0.29 eV/atom